## 1
LaMoOs2 after structural relaxation. Source: the Alexandria database, functional PBE.

Properties
Fermi-level density of states ... 7.69 states/eV per cell

Lattice parameters (Å, degrees): 10.0083 3.0486 5.2607 90.00 107.28 90.00
Closest atoms and distances in Å follow each position.
Space group Cm (No. 8)
Unique sites:
La  0.0000  0.0000  0.0000 x2  6 Os 2.96-3.16, 3 Mo 3.00-3.23, 2 La 3.05
Mo  0.2122  0.0000  0.6985 x2  4 Os 2.58-2.62
Os  0.2684  0.5000  0.3469 x2  2 Mo 2.58, 2 Os 2.65
Os  0.4954  0.0000  0.4793 x2  2 Mo 2.62, 2 Os 2.65

=====

## 2
LaMoOs2 after structural relaxation. Source: the Alexandria database, functional PBE.

Properties
Fermi-level density of states ... 10.32 states/eV per cell

Lattice parameters (Å, degrees): 3.0203 4.8168 9.7196 90.00 90.00 90.00
Closest atoms and distances in Å follow each position.
Space group Cmm2 (No. 35)
Unique sites:
La  0.0000  0.0000  0.0000 x2  6 La 2.84-3.02, 2 Os 2.99, 2 Mo 3.18
Mo  0.0000  0.5000  0.7120 x2  2 Os 2.62, 4 Mo 2.84
Os  0.0000  0.0000  0.4920 x2  2 Mo 2.62, 6 Os 2.67-2.84
Os  0.0000  0.5000  0.2650 x2  6 Os 2.67-2.84, 2 La 2.99

=====

## 3
LaMoOs2 after structural relaxation. Source: the Alexandria database, functional PBE.

Properties
Fermi-level density of states ... 4.22 states/eV per cell

Lattice parameters (Å, degrees): 3.1191 3.1191 7.6346 90.00 90.00 90.00
Closest atoms and distances in Å follow each position.
Space group P4/mmm (No. 123)
Unique sites:
La  0.0000  0.0000  0.0000 x1  4 La 3.12, 8 Os 3.21
Mo  0.0000  0.0000  0.5000 x1  8 Os 2.66
Os  0.5000  0.5000  0.3047 x2  4 Mo 2.66

=====

Q: Which of them is the most stable? A: 3.

=====

## 1
LaMoOs2 after structural relaxation. Source: the Alexandria database, functional PBE.

Properties
Fermi-level density of states ... 8.14 states/eV per cell

Lattice parameters (Å, degrees): 8.8827 3.0782 6.4265 90.00 107.56 90.00
Closest atoms and distances in Å follow each position.
Space group C2/m (No. 12)
Unique sites:
La  0.0000  0.0000  0.0000 x2  2 La 3.08, 4 Os 3.11
Mo  0.0000  0.5000  0.5000 x2  6 Os 2.53-2.84
Os  0.2336  0.0000  0.6565 x4  3 Mo 2.53-2.84, 2 Os 2.62

=====

## 2
LaMoOs2 after structural relaxation. Source: the Alexandria database, functional PBE.

Properties
Fermi-level density of states ... 3.82 states/eV per cell

Lattice parameters (Å, degrees): 4.8827 4.8827 3.0858 90.00 90.00 90.00
Closest atoms and distances in Å follow each position.
Space group P4/mmm (No. 123)
Unique sites:
La  0.0000  0.0000  0.0000 x1  8 Os 2.89, 2 La 3.09
Mo  0.5000  0.5000  0.0000 x1  8 Os 2.89, 2 Mo 3.09
Os  0.0000  0.5000  0.5000 x2  4 La 2.89, 4 Mo 2.89, 2 Os 3.09

=====

## 3
LaMoOs2 after structural relaxation. Source: the Alexandria database, functional PBE.

Properties
Fermi-level density of states ... 4.67 states/eV per cell

Lattice parameters (Å, degrees): 2.8316 3.7442 7.2525 90.00 90.00 90.00
Closest atoms and distances in Å follow each position.
Space group Pmm2 (No. 25)
Unique sites:
La  0.0000  0.0000  0.0000 x1  2 La 2.83
Mo  0.5000  0.5000  0.3257 x1  5 Os 2.63-2.76, 2 Mo 2.83
Os  0.0000  0.0000  0.5247 x1  6 Os 2.63-2.83, 4 Mo 2.76
Os  0.5000  0.5000  0.6879 x1  1 Mo 2.63, 6 Os 2.63-2.83

=====

Q: Which of them is the most stable? A: 3.

=====

## 1
LaMoOs2 after structural relaxation. Source: the Alexandria database, functional PBE.

Properties
Fermi-level density of states ... 5.65 states/eV per cell

Lattice parameters (Å, degrees): 3.1112 4.7684 4.8064 90.00 90.00 90.00
Closest atoms and distances in Å follow each position.
Space group Pmmm (No. 47)
Unique sites:
La  0.0000  0.0000  0.0000 x1  4 Mo 2.85, 4 Os 2.86, 2 La 3.11
Mo  0.5000  0.5000  0.0000 x1  4 La 2.85, 4 Os 2.86, 2 Mo 3.11
Os  0.0000  0.5000  0.5000 x1  6 Os 2.85-3.11, 4 Mo 2.86
Os  0.5000  0.0000  0.5000 x1  6 Os 2.85-3.11, 4 La 2.86

=====

## 2
LaMoOs2 after structural relaxation. Source: the Alexandria database, functional PBE.

Properties
Fermi-level density of states ... 24.65 states/eV per cell

Lattice parameters (Å, degrees): 7.4233 7.4233 5.9557 90.00 90.00 90.00
Closest atoms and distances in Å follow each position.
Space group I-42d (No. 122)
Unique sites:
La  0.0000  0.0000  0.0000 x4  2 Mo 2.98, 8 Os 2.99-3.26
Mo  0.0000  0.0000  0.5000 x4  4 Os 2.49
Os  0.1999  0.2500  0.6250 x8  2 Mo 2.49

=====

## 3
LaMoOs2 after structural relaxation. Source: the Alexandria database, functional PBE.

Properties
Fermi-level density of states ... 8.41 states/eV per cell

Lattice parameters (Å, degrees): 2.9076 4.9293 10.4335 90.00 90.00 90.00
Closest atoms and distances in Å follow each position.
Space group Imm2 (No. 44)
Unique sites:
La  0.0000  0.0000  0.0000 x2  4 Os 2.86, 2 La 2.91
Mo  0.0000  0.5000  0.7878 x2  6 Os 2.74-2.95, 2 Mo 2.91
Os  0.0000  0.0000  0.5107 x2  4 Os 2.62-2.91, 2 Mo 2.74, 4 La 2.86
Os  0.0000  0.5000  0.2200 x2  4 Os 2.62-2.91

=====

## 4
LaMoOs2 after structural relaxation. Source: the Alexandria database, functional PBE.

Properties
Fermi-level density of states ... 10.17 states/eV per cell

Lattice parameters (Å, degrees): 3.0304 4.9478 9.6988 90.00 90.00 90.00
Closest atoms and distances in Å follow each position.
Space group Immm (No. 71)
Unique sites:
La  0.0000  0.0000  0.0000 x2  4 Mo 2.90, 2 La 3.03, 4 Os 3.08
Mo  0.0000  0.0000  0.5000 x2  4 Os 2.65, 4 La 2.90
Os  0.0000  0.5000  0.2238 x4  2 Mo 2.65, 4 Os 2.95

=====

Q: Which of them is the most stable? A: 3.

=====

## 1
LaMoOs2 after structural relaxation. Source: the Alexandria database, functional PBE.

Properties
Fermi-level density of states ... 9.16 states/eV per cell

Lattice parameters (Å, degrees): 3.1522 4.8248 9.2956 90.00 90.00 90.00
Closest atoms and distances in Å follow each position.
Space group Cmmm (No. 65)
Unique sites:
La  0.0000  0.0000  0.0000 x2  6 La 2.88-3.15, 4 Os 3.02
Mo  0.0000  0.0000  0.5000 x2  4 Os 2.60, 4 Mo 2.88
Os  0.0000  0.5000  0.2770 x4  2 Mo 2.60, 4 Os 2.88

=====

## 2
LaMoOs2 after structural relaxation. Source: the Alexandria database, functional PBE.

Properties
Fermi-level density of states ... 4.97 states/eV per cell

Lattice parameters (Å, degrees): 3.1040 4.5597 5.5700 90.00 100.30 90.00
Closest atoms and distances in Å follow each position.
Space group Pm (No. 6)
Unique sites:
La  0.0000  0.0000  0.0000 x1  6 Os 2.82-3.09, 2 La 3.10
Mo  0.7964  0.5000  0.4395 x1  4 Os 2.50-2.67
Os  0.3821  0.0000  0.4990 x1  4 Mo 2.67-2.90, 1 La 2.82, 2 Os 2.83
Os  0.4327  0.5000  0.8045 x1  2 Mo 2.50-2.57

=====

Q: Which of them is the most stable? A: 2.

=====

## 1
LaMoOs2 after structural relaxation. Source: the Alexandria database, functional PBE.

Properties
Fermi-level density of states ... 6.49 states/eV per cell

Lattice parameters (Å, degrees): 6.5723 7.2737 3.0694 90.00 90.00 90.00
Closest atoms and distances in Å follow each position.
Space group Cmmm (No. 65)
Unique sites:
La  0.0000  0.0000  0.0000 x2  8 Os 2.89, 2 La 3.07
Mo  0.0000  0.5000  0.0000 x2  8 Os 2.89, 2 Mo 3.07
Os  0.2500  0.2500  0.5000 x4  4 La 2.89, 4 Mo 2.89, 2 Os 3.07

=====

## 2
LaMoOs2 after structural relaxation. Source: the Alexandria database, functional PBE.

Properties
Fermi-level density of states ... 12.27 states/eV per cell

Lattice parameters (Å, degrees): 4.6487 4.6487 6.5899 90.00 90.00 90.00
Closest atoms and distances in Å follow each position.
Space group I-4m2 (No. 119)
Unique sites:
La  0.0000  0.0000  0.0000 x2  4 Mo 2.85, 4 Os 2.85
Mo  0.0000  0.5000  0.7500 x2  4 La 2.85, 4 Os 2.85
Os  0.0000  0.0000  0.5000 x2  4 Mo 2.85, 4 Os 2.85
Os  0.0000  0.5000  0.2500 x2  4 La 2.85, 4 Os 2.85

=====

Q: Which of them is the most stable? A: 1.

=====

## 1
LaMoOs2 after structural relaxation. Source: the Alexandria database, functional PBE.

Properties
Fermi-level density of states ... 20.43 states/eV per cell

Lattice parameters (Å, degrees): 6.6417 6.6417 6.6417 90.00 90.00 90.00
Closest atoms and distances in Å follow each position.
Space group Fm-3m (No. 225)
Unique sites:
La  0.0000  0.0000  0.0000 x4  8 Os 2.88
Mo  0.0000  0.0000  0.5000 x4  8 Os 2.88
Os  0.2500  0.2500  0.2500 x8  4 La 2.88, 4 Mo 2.88

=====

## 2
LaMoOs2 after structural relaxation. Source: the Alexandria database, functional PBE.

Properties
Fermi-level density of states ... 11.72 states/eV per cell

Lattice parameters (Å, degrees): 2.8644 2.8644 30.1252 90.00 90.00 120.00
Closest atoms and distances in Å follow each position.
Space group R3m (No. 160, hexagonal axes)
Unique sites:
La  0.0000  0.0000  0.0000 x3  6 La 2.86
Mo  0.0000  0.0000  0.2358 x3  3 Os 2.74, 6 Mo 2.86
Os  0.0000  0.0000  0.4967 x3  9 Os 2.67-2.86, 3 Mo 2.74
Os  0.0000  0.0000  0.7607 x3  9 Os 2.67-2.86

=====

Q: Which of them is the most stable? A: 1.